(1)
Computed, not measured: a geometry-optimized Li3Cd8Rh2 structure at the GGA-PBE level of DFT.

The calculation puts the spin magnetization at 0.0 μB/f.u. As for the electronic total energy: -2.27 eV/atom. Its density of states at the Fermi level is 0.43 states/eV/atom.

The space group is C2/m (No. 12) and the conventional cell measures 11.0456, 9.5996 and 5.0513 Å, with angles of 90.00, 110.79 and 90.00 degrees. The distinct sites, in fractional coordinates, are Li at (0.0000, 0.0000, 0.0000), Li at (0.0000, 0.2515, 0.5000), Cd at (0.0677, 0.5000, 0.2954), Cd at (0.1498, 0.0000, 0.5576), Cd at (0.1605, 0.2404, 0.1428) and Rh at (0.2019, 0.5000, 0.8700).

---

(2)
Computed, not measured: a geometry-optimized Li2Cd4Rh3 structure at the GGA-PBE level of DFT.

The calculation puts the spin magnetization at 0.0 μB/f.u. As for the electronic total energy: -3.48 eV/atom. Its density of states at the Fermi level is 0.82 states/eV/atom.

The space group is C2/m (No. 12) and the conventional cell measures 7.8325, 4.5378 and 8.3805 Å, with angles of 90.00, 90.30 and 90.00 degrees. The distinct sites, in fractional coordinates, are Li at (0.1663, 0.0000, 0.2833), Cd at (0.9995, 0.5000, 0.1683), Cd at (0.1668, 0.0000, 0.6215), Rh at (0.0000, 0.5000, 0.5000) and Rh at (0.1669, 0.0000, 0.9699).

---

(3)
Computed, not measured: a geometry-optimized Li4CdRh structure at the GGA-PBE level of DFT.

The calculation puts the spin magnetization at 0.0 μB/f.u. As for the electronic total energy: -2.71 eV/atom. Its density of states at the Fermi level is 0.37 states/eV/atom. The excess energy over the best structure of this formula in the dataset comes out at 133.1 meV/atom.

The space group is F-43m (No. 216) and the conventional cell measures 7.0214, 7.0214 and 7.0214 Å, with angles of 90.00, 90.00 and 90.00 degrees. The distinct sites, in fractional coordinates, are Li at (0.1232, 0.1232, 0.1232), Cd at (0.0000, 0.0000, 0.5000) and Rh at (0.2500, 0.2500, 0.7500).

---

(4)
Computed, not measured: a geometry-optimized Li4CdRh structure at the GGA-PBE level of DFT.

The calculation puts the spin magnetization at 0.0 μB/f.u. As for the electronic total energy: -2.84 eV/atom. Its density of states at the Fermi level is 0.31 states/eV/atom. The excess energy over the best structure of this formula in the dataset comes out at 0.0 meV/atom.

The space group is C2/c (No. 15) and the conventional cell measures 5.4872, 15.3379 and 4.3814 Å, with angles of 90.00, 90.00 and 90.00 degrees. The distinct sites, in fractional coordinates, are Li at (0.2204, 0.0423, 0.2519), Li at (0.2384, 0.2081, 0.2498), Cd at (0.0000, 0.3783, 0.2500) and Rh at (0.0000, 0.1262, 0.7500).